A plane-wave DFT calculation with PBE was carried out for PmVZn4 after structural relaxation.

Cell lengths 5.293, 5.293, 5.293 Å; angles 60.00, 60.00, 60.00 degrees
Atoms (fractional coordinates):
1 Zn 0.624 0.624 0.624
2 Zn 0.128 0.624 0.624
3 Zn 0.624 0.624 0.128
4 Pm 0.000 0.000 0.000
5 V 0.250 0.250 0.250
6 Zn 0.624 0.128 0.624

Results
ρ = 7.24 g cm⁻³
crystal system = cubic
calculated volume = 17.48 Å³/atom
uncorrected energy = -3.295 eV per atom
formation energy from the elements = -3.1 kcal/mol of atoms